First-principles (PBE+U) data for a relaxed structure of YVF2, as listed in the Alexandria database.

Its offset from the most stable computed form is 2.55 eV/f.u. As for the density: 4.66 g/cm3. For the calculated volume, the calculation gives 253.5 Å³ per cell.

The space group is Fm-3m (No. 225) and the conventional cell measures 6.3288, 6.3288 and 6.3288 Å, with angles of 90.00, 90.00 and 90.00 degrees. The asymmetric unit holds Y at (0.0000, 0.0000, 0.0000), V at (0.0000, 0.0000, 0.5000) and F at (0.2500, 0.2500, 0.2500).